Entry 1:
DFT (GGA-PBE) results for a relaxed structure of KMgRu4.

Structure (POSCAR):
```
KMgRu4
1.0
0.000 3.765 3.765
3.765 0.000 3.765
3.765 3.765 0.000
K Mg Ru
1 1 4
direct
0.000 0.000 0.000
0.750 0.750 0.750
0.375 0.375 0.375
0.375 0.375 0.874
0.375 0.874 0.375
0.874 0.375 0.375
```

Results
For the formation energy, the calculation gives 0.74 eV/atom.

=====

Entry 2:
DFT (GGA-PBE) results for a relaxed structure of Al8Pd2Pt.

Structure (POSCAR):
```
Al8Pd2Pt
1.0
4.232 -4.933 0.000
4.232 4.933 0.000
-1.091 0.000 4.345
Al Pd Pt
8 2 1
direct
0.121 0.421 0.767
0.142 0.858 0.000
0.340 0.340 0.295
0.421 0.121 0.767
0.579 0.879 0.233
0.660 0.660 0.705
0.858 0.142 0.000
0.879 0.579 0.233
0.285 0.715 0.500
0.715 0.285 0.500
0.000 0.000 0.500
```

Results
For the formation energy, the calculation gives -0.45 eV/atom.

=====

Entry 3:
DFT (GGA-PBE) results for a relaxed structure of NaTcRu3.

Structure (POSCAR):
```
NaTcRu3
1.0
4.697 0.000 0.000
0.000 4.697 0.000
0.000 0.000 4.697
Na Tc Ru
1 1 3
direct
0.000 0.000 0.000
0.500 0.500 0.500
0.000 0.500 0.500
0.500 0.000 0.500
0.500 0.500 0.000
```

Results
For the formation energy, the calculation gives 1.40 eV/atom. The offset from the most stable computed form comes out at 0 meV per atom.

=====

Entry 4:
DFT (GGA-PBE) results for a relaxed structure of CaNiPb2.

Structure (POSCAR):
```
CaNiPb2
1.0
2.212 1.277 6.001
-2.212 1.277 6.001
0.000 -2.554 6.001
Ca Ni Pb
1 1 2
direct
0.000 0.000 0.000
0.500 0.500 0.500
0.223 0.223 0.223
0.777 0.777 0.777
```

Results
For the formation energy, the calculation gives -0.17 eV/atom.

=====

Entry 5:
DFT (GGA-PBE) results for a relaxed structure of Li6Mg12Tl.

Structure (POSCAR):
```
Li6Mg12Tl
1.0
4.620 2.667 5.864
-4.620 2.667 5.864
0.000 -5.335 5.864
Li Mg Tl
6 12 1
direct
0.148 0.148 0.526
0.148 0.526 0.148
0.474 0.852 0.852
0.526 0.148 0.148
0.852 0.474 0.852
0.852 0.852 0.474
0.107 0.755 0.755
0.189 0.516 0.516
0.245 0.245 0.893
0.245 0.893 0.245
0.484 0.484 0.811
0.484 0.811 0.484
0.516 0.189 0.516
0.516 0.516 0.189
0.755 0.107 0.755
0.755 0.755 0.107
0.811 0.484 0.484
0.893 0.245 0.245
0.000 0.000 0.000
```

Results
For the formation energy, the calculation gives 0.01 eV/atom. The offset from the most stable computed form comes out at 48 meV per atom.

=====

Entry 6:
DFT (GGA-PBE) results for a relaxed structure of Li2GaRe2.

Structure (POSCAR):
```
Li2GaRe2
1.0
-1.651 1.651 7.099
1.651 -1.651 7.099
1.651 1.651 -7.099
Li Ga Re
2 1 2
direct
0.250 0.750 0.500
0.750 0.250 0.500
0.000 0.000 0.000
0.415 0.415 0.000
0.585 0.585 0.000
```

Results
For the formation energy, the calculation gives 0.75 eV/atom. The offset from the most stable computed form comes out at 247 meV per atom.

=====

Entry 7:
DFT (GGA-PBE) results for a relaxed structure of NdZn3Si2.

Structure (POSCAR):
```
NdZn3Si2
1.0
7.793 -2.059 0.000
7.793 2.059 0.000
-3.900 0.000 6.819
Nd Zn Si
2 6 4
direct
0.152 0.152 0.069
0.848 0.848 0.931
0.039 0.039 0.366
0.308 0.308 0.554
0.403 0.403 0.302
0.597 0.597 0.698
0.692 0.692 0.446
0.961 0.961 0.634
0.187 0.187 0.698
0.481 0.481 0.836
0.519 0.519 0.164
0.813 0.813 0.302
```

Results
The energy relative to the elements, uncorrected is -0.257 eV/atom.

=====

Entry 8:
DFT (GGA-PBE) results for a relaxed structure of CoTe2CI.

Structure (POSCAR):
```
CoTe2CI
1.0
4.742 0.000 0.000
0.000 4.742 0.000
0.000 0.000 4.932
Co Te C I
1 2 1 1
direct
0.000 0.000 0.000
0.000 0.500 0.500
0.500 0.000 0.500
0.500 0.500 0.500
0.500 0.500 0.000
```

Results
The energy relative to the elements, uncorrected is 1.480 eV/atom. The offset from the most stable computed form comes out at 0 meV per atom.

=====

Entry 9:
DFT (GGA-PBE) results for a relaxed structure of ErAgSn2S4.

Structure (POSCAR):
```
ErAgSn2S4
1.0
6.877 0.000 0.000
0.000 4.016 0.000
-2.342 0.000 6.716
Er Ag Sn S
1 1 2 4
direct
0.000 0.000 0.000
0.500 0.500 0.000
0.000 0.500 0.500
0.500 0.000 0.500
0.234 0.500 0.232
0.248 0.000 0.766
0.752 0.000 0.234
0.766 0.500 0.768
```

Results
The energy relative to the elements, uncorrected is -0.792 eV/atom.

=====

Entry 10:
DFT (GGA-PBE) results for a relaxed structure of SrCu2GeS4.

Structure (POSCAR):
```
SrCu2GeS4
1.0
-3.126 3.126 4.290
3.126 -3.126 4.290
3.126 3.126 -4.290
Sr Cu Ge S
1 2 1 4
direct
0.000 0.000 0.000
0.250 0.750 0.500
0.750 0.250 0.500
0.500 0.500 0.000
0.140 0.140 0.595
0.455 0.860 0.000
0.545 0.545 0.405
0.860 0.455 0.000
```

Results
The energy relative to the elements, uncorrected is -0.755 eV/atom.

=====

Entry 11:
DFT (GGA-PBE) results for a relaxed structure of AcHo2Te5.

Structure (POSCAR):
```
AcHo2Te5
1.0
-4.146 4.146 7.195
4.146 -4.146 7.195
4.146 4.146 -7.195
Ac Ho Te
2 4 10
direct
0.250 0.250 0.000
0.750 0.750 0.000
0.152 0.652 0.804
0.348 0.152 0.500
0.652 0.848 0.500
0.848 0.348 0.196
0.000 0.000 0.000
0.011 0.203 0.500
0.203 0.703 0.192
0.297 0.489 0.500
0.489 0.989 0.192
0.500 0.500 0.000
0.511 0.011 0.808
0.703 0.511 0.500
0.797 0.297 0.808
0.989 0.797 0.500
```

Results
The energy relative to the elements, uncorrected is -1.298 eV/atom.

=====

no.,E (eV per atom),volume (Å³ per cell)
1,-5.895,106.7
2,-4.669,181.4
3,-6.499,103.6
4,-3.971,101.7
5,-1.724,433.6
6,-5.598,77.4
7,-3.496,218.8
8,-3.353,110.9
9,-4.783,185.5
10,-4.630,167.8
11,-4.920,494.7